#1
Cs2Hg2Au after structural relaxation, computed with GGA-PBE.

Results
Density: 6.96 g/cm³
N(E_F): 0.37 states/eV/atom

abc: 5.224 7.178 12.118
angles: 88.85 77.55 68.66
Positions (direct):
Cs 0.659 0.337 0.345
Cs 0.922 0.279 0.878
Cs 0.341 0.663 0.655
Cs 0.078 0.721 0.122
Hg 0.123 0.196 0.557
Hg 0.625 0.867 0.883
Hg 0.877 0.804 0.443
Hg 0.375 0.133 0.117
Au 0.627 0.078 0.668
Au 0.373 0.922 0.332

#2
Cs2Hg2Au after structural relaxation, computed with GGA-PBE.

Results
Density: 7.06 g/cm³
N(E_F): 0.50 states/eV/atom

abc: 8.499 8.499 5.630
angles: 90.00 90.00 90.00
Positions (direct):
Cs 0.180 0.680 0.500
Cs 0.680 0.820 0.500
Cs 0.820 0.320 0.500
Cs 0.320 0.180 0.500
Au 0.000 0.000 0.000
Au 0.500 0.500 0.000
Hg 0.368 0.868 0.000
Hg 0.868 0.632 0.000
Hg 0.632 0.132 0.000
Hg 0.132 0.368 0.000

#3
Cs2Hg2Au after structural relaxation, computed with GGA-PBE.

Results
Density: 6.15 g/cm³
N(E_F): 0.41 states/eV/atom

abc: 7.252 7.252 6.779
angles: 57.66 57.66 90.00
Positions (direct):
Cs 0.750 0.250 0.500
Cs 0.250 0.750 0.500
Au 0.000 0.000 0.000
Hg 0.327 0.327 0.346
Hg 0.673 0.673 0.654

#4
Cs2Hg2Au after structural relaxation, computed with GGA-PBE.

Results
Density: 6.66 g/cm³
N(E_F): 0.52 states/eV/atom

abc: 4.495 4.495 11.123
angles: 78.34 78.34 90.00
Positions (direct):
Cs 0.402 0.402 0.197
Cs 0.598 0.598 0.803
Au 0.000 0.000 0.000
Hg 0.750 0.250 0.500
Hg 0.250 0.750 0.500

Q: Which of them is the most stable? A: #1.

#1
CsHgAu3 after structural relaxation, computed with GGA-PBE.

Results
Density: 6.19 g/cm³
N(E_F): 1.34 states/eV/atom

abc: 6.281 6.281 6.281
angles: 90.00 90.00 90.00
Positions (direct):
Cs 0.000 0.000 0.000
Au 0.000 0.500 0.000
Au 0.000 0.000 0.500
Au 0.500 0.000 0.000
Hg 0.500 0.500 0.500

#2
CsHgAu3 after structural relaxation, computed with GGA-PBE.

Results
Density: 9.56 g/cm³
N(E_F): 0.17 states/eV/atom

abc: 5.435 5.435 5.435
angles: 90.00 90.00 90.00
Positions (direct):
Cs 0.500 0.500 0.500
Au 0.000 0.500 0.000
Au 0.000 0.000 0.500
Au 0.500 0.000 0.000
Hg 0.000 0.000 0.000

#3
CsHgAu3 after structural relaxation, computed with GGA-PBE.

Results
Density: 11.41 g/cm³
N(E_F): 0.31 states/eV/atom

abc: 7.682 7.682 10.641
angles: 90.00 90.00 121.04
Positions (direct):
Cs 0.857 0.143 0.250
Cs 0.143 0.857 0.750
Cs 0.345 0.655 0.250
Cs 0.655 0.345 0.750
Hg 0.000 0.500 0.000
Hg 0.000 0.500 0.500
Hg 0.500 0.000 0.000
Hg 0.500 0.000 0.500
Au 0.397 0.230 0.250
Au 0.603 0.770 0.750
Au 0.230 0.397 0.750
Au 0.770 0.603 0.250
Au 0.090 0.910 0.400
Au 0.910 0.090 0.900
Au 0.910 0.090 0.600
Au 0.090 0.910 0.100
Au 0.686 0.686 0.000
Au 0.314 0.314 0.500
Au 0.314 0.314 0.000
Au 0.686 0.686 0.500

Q: Which of them is the most stable? A: #3.

#1
Cs4Hg5Au3 after structural relaxation, computed with GGA-PBE.

Results
Density: 7.64 g/cm³
N(E_F): 0.31 states/eV/atom

abc: 5.656 6.791 14.482
angles: 66.03 78.74 65.39
Positions (direct):
Cs 0.924 0.337 0.816
Cs 0.234 0.898 0.633
Cs 0.766 0.102 0.367
Cs 0.076 0.663 0.184
Hg 0.604 0.875 0.918
Hg 0.500 0.500 0.500
Hg 0.223 0.633 0.920
Hg 0.777 0.367 0.080
Hg 0.396 0.125 0.082
Au 0.433 0.838 0.296
Au 0.000 0.500 0.500
Au 0.567 0.162 0.704

#2
Cs4Hg5Au3 after structural relaxation, computed with GGA-PBE.

Results
Density: 7.51 g/cm³
N(E_F): 0.43 states/eV/atom

abc: 5.327 8.564 10.875
angles: 101.89 104.18 90.00
Positions (direct):
Cs 0.899 0.085 0.799
Cs 0.169 0.470 0.337
Cs 0.831 0.530 0.663
Cs 0.101 0.915 0.201
Hg 0.273 0.163 0.546
Hg 0.000 0.500 0.000
Hg 0.447 0.792 0.894
Hg 0.553 0.208 0.106
Hg 0.727 0.837 0.454
Au 0.304 0.828 0.609
Au 0.500 0.500 0.000
Au 0.696 0.172 0.391

Q: Which of them is the most stable? A: #2.